26
Lattice="3.381 0.000 0.000 0.000 7.879 0.000 0.000 0.000 9.286" Properties=species:S:1:pos:R:3 comment="PBE+U Li4VB2O6, relaxed" sg="Pnnm, No. 58" e_tot_ev_per_cell=-173.52 pbc="T T T"
B 1.691 1.795 7.405
B 0.000 5.735 6.525
B 0.000 2.144 2.762
B 1.691 6.083 1.881
Li 0.000 7.804 7.422
Li 1.691 6.508 8.780
Li 0.000 2.569 5.149
Li 0.000 5.310 4.137
Li 1.691 1.371 0.506
Li 1.691 3.864 6.507
Li 1.691 4.014 2.779
Li 0.000 0.075 1.864
O 0.000 4.510 5.916
O 1.691 7.308 1.273
O 1.691 4.918 1.078
O 1.691 1.908 6.014
O 0.000 5.847 7.915
O 1.691 0.571 8.014
O 1.691 2.961 8.208
O 0.000 3.368 3.371
O 0.000 0.978 3.565
O 0.000 2.032 1.371
O 0.000 6.900 5.721
O 1.691 5.971 3.272
V 1.691 0.000 4.643
V 0.000 3.939 0.000